1.
The following is a GGA-PBE calculation of a relaxed structure of Pu4Ru, from Alexandria via LeMat-Bulk.

space-group type: Pm-3m
total magnetization: 10.80 μB/f.u.
uncorrected energy: -12.946 eV per atom
Fermi-level density of states: 40.993 states/eV/f.u.

a = 5.283 Å, b = 5.283 Å, c = 5.283 Å
α = 90.00°, β = 90.00°, γ = 90.00°
Element x y z (fractional)
Pu 0.000 0.000 0.000
Pu 0.000 0.500 0.500
Pu 0.500 0.000 0.500
Pu 0.500 0.500 0.000
Ru 0.500 0.500 0.500

---

2.
The following is a GGA-PBE calculation of a relaxed structure of Pu3Ru, from Alexandria via LeMat-Bulk.

space-group type: Pmm2
total magnetization: 4.80 μB/f.u.
uncorrected energy: -12.925 eV per atom
Fermi-level density of states: 13.126 states/eV/f.u.

a = 3.010 Å, b = 4.920 Å, c = 5.456 Å
α = 90.00°, β = 90.00°, γ = 90.00°
Element x y z (fractional)
Pu 0.000 0.000 0.000
Pu 0.000 0.500 0.253
Pu 0.500 0.500 0.714
Ru 0.500 0.000 0.484

---

3.
The following is a GGA-PBE calculation of a relaxed structure of Pu4Ru, from Alexandria via LeMat-Bulk.

space-group type: P1
total magnetization: 5.60 μB/f.u.
uncorrected energy: -13.236 eV per atom
Fermi-level density of states: 17.078 states/eV/f.u.

a = 3.040 Å, b = 8.088 Å, c = 8.942 Å
α = 81.90°, β = 89.94°, γ = 79.79°
Element x y z (fractional)
Pu 0.000 0.000 0.000
Pu 0.011 0.399 0.829
Pu 0.071 0.472 0.490
Pu 0.455 0.570 0.136
Pu 0.538 0.765 0.902
Pu 0.554 0.850 0.339
Pu 0.810 0.056 0.622
Pu 0.953 0.222 0.376
Ru 0.310 0.715 0.637
Ru 0.433 0.250 0.109

---

4.
The following is a GGA-PBE calculation of a relaxed structure of Pu3Ru, from Alexandria via LeMat-Bulk.

space-group type: Imm2
total magnetization: 0.13 μB/f.u.
uncorrected energy: -12.533 eV per atom
Fermi-level density of states: 9.756 states/eV/f.u.

a = 6.113 Å, b = 6.113 Å, c = 6.113 Å
α = 157.72°, β = 60.06°, γ = 125.01°
Element x y z (fractional)
Pu 0.000 0.000 0.000
Pu 0.155 0.403 0.752
Pu 0.651 0.403 0.248
Ru 0.510 0.010 0.500

---

5.
The following is a GGA-PBE calculation of a relaxed structure of Pu3Ru, from Alexandria via LeMat-Bulk.

space-group type: Fm-3m
total magnetization: 4.74 μB/f.u.
uncorrected energy: -13.067 eV per atom
Fermi-level density of states: 12.594 states/eV/f.u.

a = 4.769 Å, b = 4.769 Å, c = 4.769 Å
α = 60.00°, β = 60.00°, γ = 60.00°
Element x y z (fractional)
Pu 0.000 0.000 0.000
Pu 0.250 0.250 0.250
Pu 0.750 0.750 0.750
Ru 0.500 0.500 0.500

---

6.
The following is a GGA-PBE calculation of a relaxed structure of Pu5Ru2, from Alexandria via LeMat-Bulk.

space-group type: Ibam
total magnetization: 4.83 μB/f.u.
uncorrected energy: -12.823 eV per atom
Fermi-level density of states: 27.290 states/eV/f.u.

a = 7.872 Å, b = 7.872 Å, c = 7.872 Å
α = 121.92°, β = 78.08°, γ = 132.68°
Element x y z (fractional)
Pu 0.017 0.750 0.267
Pu 0.096 0.647 0.743
Pu 0.250 0.250 0.000
Pu 0.404 0.147 0.550
Pu 0.483 0.750 0.733
Pu 0.517 0.250 0.267
Pu 0.596 0.853 0.450
Pu 0.750 0.750 0.000
Pu 0.904 0.353 0.257
Pu 0.983 0.250 0.733
Ru 0.115 0.228 0.342
Ru 0.385 0.728 0.113
Ru 0.615 0.272 0.887
Ru 0.885 0.772 0.658